The following is a PBE with a Hubbard U calculation of a relaxed RbInMoF6 crystal, from Alexandria via LeMat-Bulk.

Lattice parameters (Å, degrees): 7.7540 8.0599 11.4445 90.00 90.00 90.00
Last column: nearest neighbours and their distance in Å.
Space group Imma (No. 74)
Inequivalent atoms, fractional coordinates:
Rb 0.0000 0.2500 0.1081 [4 per cell]  5 F 3.00-3.24
In 0.2500 0.2500 0.7500 [4 per cell]  6 F 2.23-2.34
Mo 0.0000 0.0000 0.5000 [4 per cell]  6 F 2.10
F 0.0000 0.2500 0.4485 [4 per cell]  2 Mo 2.10
F 0.0000 0.2500 0.8460 [4 per cell]  2 In 2.23
F 0.1977 0.0267 0.6239 [16 per cell]  1 Mo 2.10, 1 In 2.34

Summary:
The calculated total energy comes out at -44.22 eV per formula unit.